Density functional theory data (PBE-GGA) for a geometry-optimized Sr3Li2Ge2Au4 structure.

Values from the calculation:
The crystal system is tetragonal. The size of the total moment is 0.00 μB/f.u. The final energy is -3.19 eV per atom. Its formation enthalpy at 0 K is -348 meV/atom.

a = 4.768 Å, b = 4.768 Å, c = 27.444 Å
α = 90.00°, β = 90.00°, γ = 90.00°
Space group I4/mmm (No. 139)
Symmetry-distinct sites (fractional):
Sr 0.000 0.000 0.000
Sr 0.000 0.000 0.159
Li 0.000 0.000 0.284
Ge 0.000 0.000 0.383
Au 0.000 0.500 0.081

***

Density functional theory data (PBE-GGA) for a geometry-optimized Mg3Hg structure.

Values from the calculation:
The crystal system is trigonal. The size of the total moment is 0.00 μB/f.u. The final energy is -1.33 eV per atom. Its formation enthalpy at 0 K is -55 meV/atom.

a = 9.8640 Å, b = 9.8640 Å, c = 3.1640 Å
α = 90.00°, β = 90.00°, γ = 120.00°
Space group R-3m (No. 166, hexagonal axes)
Symmetry-distinct sites (fractional):
Mg 0.0000 0.5000 0.0000
Hg 0.0000 0.0000 0.0000